1.
Compound: PmSm3Tm7
Source: the Alexandria database
Functional: PBE
Structure: relaxed

Geometry as CIF:
```
data_PmSm3Tm7
_space_group_name_H-M_alt 'P 1'
_space_group_IT_number 1
_space_group_name_Hall 'P 1'
_cell_length_a 7.0041
_cell_length_b 7.0041
_cell_length_c 8.6115
_cell_angle_alpha 90.00
_cell_angle_beta 90.00
_cell_angle_gamma 120.00
loop_
_atom_site_label
_atom_site_fract_x
_atom_site_fract_y
_atom_site_fract_z
Pm1 0.0000 0.0000 0.0000
Sm1 0.3341 0.1671 0.6617
Sm2 0.8329 0.1671 0.6617
Sm3 0.8329 0.6659 0.6617
Tm1 0.1662 0.3325 0.3261
Tm2 0.1662 0.8338 0.3261
Tm3 0.5009 0.0017 0.0015
Tm4 0.5009 0.4991 0.0015
Tm5 0.6667 0.3333 0.3250
Tm6 0.6675 0.8338 0.3261
Tm7 0.9983 0.4991 0.0015
```

Output
- space-group type = P3m1
- electronic total energy (Ry/atom) = -0.3217

***

2.
Compound: PmSm4Tm2
Source: the Alexandria database
Functional: PBE
Structure: relaxed

Geometry as CIF:
```
data_PmSm4Tm2
_space_group_name_H-M_alt 'P 1'
_space_group_IT_number 1
_space_group_name_Hall 'P 1'
_cell_length_a 6.1836
_cell_length_b 6.5958
_cell_length_c 11.6367
_cell_angle_alpha 90.00
_cell_angle_beta 104.90
_cell_angle_gamma 90.00
loop_
_atom_site_label
_atom_site_fract_x
_atom_site_fract_y
_atom_site_fract_z
Pm1 0.0116 0.2500 0.3466
Pm2 0.9884 0.7500 0.6534
Sm1 0.1604 0.2500 0.6480
Sm2 0.2959 0.7500 0.9415
Sm3 0.3600 0.0004 0.2128
Sm4 0.3600 0.4996 0.2128
Sm5 0.6400 0.9996 0.7872
Sm6 0.6400 0.5004 0.7872
Sm7 0.7041 0.2500 0.0585
Sm8 0.8396 0.7500 0.3520
Tm1 0.1420 0.2500 0.9353
Tm2 0.3970 0.7500 0.4991
Tm3 0.6030 0.2500 0.5009
Tm4 0.8580 0.7500 0.0647
```

Output
- space-group type = P2_1/m
- distance to the lowest polymorph of the same formula (meV per atom) = 71
- electronic total energy (Ry/atom) = -0.3326

***

3.
Compound: Pm6SmTm12
Source: the Alexandria database
Functional: PBE
Structure: relaxed

Geometry as CIF:
```
data_Pm6SmTm12
_space_group_name_H-M_alt 'P 1'
_space_group_IT_number 1
_space_group_name_Hall 'P 1'
_cell_length_a 8.5846
_cell_length_b 8.5846
_cell_length_c 8.5846
_cell_angle_alpha 79.75
_cell_angle_beta 79.75
_cell_angle_gamma 79.75
loop_
_atom_site_label
_atom_site_fract_x
_atom_site_fract_y
_atom_site_fract_z
Pm1 0.2687 0.2687 0.6649
Pm2 0.2687 0.6649 0.2687
Pm3 0.3351 0.7313 0.7313
Pm4 0.6649 0.2687 0.2687
Pm5 0.7313 0.3351 0.7313
Pm6 0.7313 0.7313 0.3351
Sm1 0.5000 0.5000 0.5000
Tm1 0.0148 0.0148 0.6961
Tm2 0.0148 0.6961 0.0148
Tm3 0.0185 0.3625 0.3625
Tm4 0.3039 0.9852 0.9852
Tm5 0.3625 0.0185 0.3625
Tm6 0.3625 0.3625 0.0185
Tm7 0.6375 0.6375 0.9815
Tm8 0.6375 0.9815 0.6375
Tm9 0.6961 0.0148 0.0148
Tm10 0.9815 0.6375 0.6375
Tm11 0.9852 0.3039 0.9852
Tm12 0.9852 0.9852 0.3039
```

Output
- space-group type = R-3m
- distance to the lowest polymorph of the same formula (meV per atom) = 0
- electronic total energy (Ry/atom) = -0.3273

***

4.
Compound: Pm4Sm7Tm
Source: the Alexandria database
Functional: PBE
Structure: relaxed

Geometry as CIF:
```
data_Pm4Sm7Tm
_space_group_name_H-M_alt 'P 1'
_space_group_IT_number 1
_space_group_name_Hall 'P 1'
_cell_length_a 6.3187
_cell_length_b 7.3000
_cell_length_c 9.0309
_cell_angle_alpha 89.91
_cell_angle_beta 76.51
_cell_angle_gamma 89.98
loop_
_atom_site_label
_atom_site_fract_x
_atom_site_fract_y
_atom_site_fract_z
Pm1 0.2226 0.2517 0.3304
Pm2 0.2759 0.0000 0.6672
Pm3 0.7241 0.0000 0.3328
Pm4 0.7774 0.7483 0.6696
Sm1 0.9997 0.2513 0.9997
Sm2 0.0003 0.7487 0.0003
Sm3 0.2227 0.7489 0.3304
Sm4 0.2787 0.4997 0.6676
Sm5 0.5000 0.0000 0.0000
Sm6 0.7213 0.5003 0.3324
Sm7 0.7773 0.2511 0.6696
Tm1 0.5000 0.5000 0.0000
```

Output
- space-group type = P-1
- distance to the lowest polymorph of the same formula (meV per atom) = 0
- electronic total energy (Ry/atom) = -0.3452

***

5.
Compound: Pm4Sm7Tm
Source: the Alexandria database
Functional: PBE
Structure: relaxed

Geometry as CIF:
```
data_Pm4Sm7Tm
_space_group_name_H-M_alt 'P 1'
_space_group_IT_number 1
_space_group_name_Hall 'P 1'
_cell_length_a 8.7130
_cell_length_b 8.7130
_cell_length_c 9.3401
_cell_angle_alpha 114.41
_cell_angle_beta 114.41
_cell_angle_gamma 40.42
loop_
_atom_site_label
_atom_site_fract_x
_atom_site_fract_y
_atom_site_fract_z
Pm1 0.0749 0.0749 0.2007
Pm2 0.1745 0.1745 0.8885
Pm3 0.8255 0.8255 0.1115
Pm4 0.9251 0.9251 0.7993
Sm1 0.0000 0.0000 0.5000
Sm2 0.2908 0.2908 0.6246
Sm3 0.2930 0.2930 0.2764
Sm4 0.4199 0.4199 0.0656
Sm5 0.5801 0.5801 0.9344
Sm6 0.7070 0.7070 0.7236
Sm7 0.7092 0.7092 0.3754
Tm1 0.5000 0.5000 0.5000
```

Output
- space-group type = C2/m
- distance to the lowest polymorph of the same formula (meV per atom) = 211
- electronic total energy (Ry/atom) = -0.3297

***

6.
Compound: Pm4SmTm6
Source: the Alexandria database
Functional: PBE
Structure: relaxed

Geometry as CIF:
```
data_Pm4SmTm6
_space_group_name_H-M_alt 'P 1'
_space_group_IT_number 1
_space_group_name_Hall 'P 1'
_cell_length_a 8.4508
_cell_length_b 8.4508
_cell_length_c 8.4508
_cell_angle_alpha 125.58
_cell_angle_beta 125.58
_cell_angle_gamma 80.58
loop_
_atom_site_label
_atom_site_fract_x
_atom_site_fract_y
_atom_site_fract_z
Pm1 0.2513 0.2513 0.6530
Pm2 0.4018 0.7487 0.0000
Pm3 0.5982 0.5982 0.3470
Pm4 0.7487 0.4018 0.0000
Sm1 0.0000 0.0000 0.0000
Tm1 0.0000 0.5000 0.5000
Tm2 0.0689 0.5652 0.0000
Tm3 0.4348 0.4348 0.5036
Tm4 0.5000 0.0000 0.5000
Tm5 0.5652 0.0689 0.0000
Tm6 0.9311 0.9311 0.4964
```

Output
- space-group type = I-42m
- distance to the lowest polymorph of the same formula (meV per atom) = 160
- electronic total energy (Ry/atom) = -0.3035

***

7.
Compound: Pm3Sm2Tm5
Source: the Alexandria database
Functional: PBE
Structure: relaxed

Geometry as CIF:
```
data_Pm3Sm2Tm5
_space_group_name_H-M_alt 'P 1'
_space_group_IT_number 1
_space_group_name_Hall 'P 1'
_cell_length_a 12.3688
_cell_length_b 12.3688
_cell_length_c 12.3688
_cell_angle_alpha 135.35
_cell_angle_beta 55.85
_cell_angle_gamma 148.21
loop_
_atom_site_label
_atom_site_fract_x
_atom_site_fract_y
_atom_site_fract_z
Pm1 0.1329 0.7476 0.8805
Pm2 0.2500 0.2500 0.0000
Pm3 0.3671 0.2476 0.6146
Pm4 0.6329 0.7524 0.3854
Pm5 0.7500 0.7500 0.0000
Pm6 0.8671 0.2524 0.1195
Sm1 0.1274 0.0996 0.2270
Sm2 0.3726 0.5996 0.9722
Sm3 0.6274 0.4004 0.0278
Sm4 0.8726 0.9004 0.7730
Tm1 0.0023 0.7500 0.2523
Tm2 0.1243 0.4135 0.5378
Tm3 0.2500 0.7500 0.5000
Tm4 0.3757 0.9135 0.2892
Tm5 0.4977 0.7500 0.7477
Tm6 0.5023 0.2500 0.2523
Tm7 0.6243 0.0865 0.7108
Tm8 0.7500 0.2500 0.5000
Tm9 0.8757 0.5865 0.4622
Tm10 0.9977 0.2500 0.7477
```

Output
- space-group type = Ibam
- distance to the lowest polymorph of the same formula (meV per atom) = 212
- electronic total energy (Ry/atom) = -0.3091

***

8.
Compound: Pm5Sm3Tm2
Source: the Alexandria database
Functional: PBE
Structure: relaxed

Geometry as CIF:
```
data_Pm5Sm3Tm2
_space_group_name_H-M_alt 'P 1'
_space_group_IT_number 1
_space_group_name_Hall 'P 1'
_cell_length_a 9.2366
_cell_length_b 9.2366
_cell_length_c 9.9572
_cell_angle_alpha 108.35
_cell_angle_beta 108.35
_cell_angle_gamma 108.65
loop_
_atom_site_label
_atom_site_fract_x
_atom_site_fract_y
_atom_site_fract_z
Pm1 0.0213 0.9787 0.7500
Pm2 0.1337 0.3829 0.7616
Pm3 0.2727 0.7273 0.2500
Pm4 0.3829 0.1337 0.2616
Pm5 0.4771 0.5229 0.2500
Pm6 0.5229 0.4771 0.7500
Pm7 0.6171 0.8663 0.7384
Pm8 0.7273 0.2727 0.7500
Pm9 0.8663 0.6171 0.2384
Pm10 0.9787 0.0213 0.2500
Sm1 0.0237 0.2751 0.0548
Sm2 0.2289 0.7711 0.7500
Sm3 0.2751 0.0237 0.5548
Sm4 0.7249 0.9763 0.4452
Sm5 0.7711 0.2289 0.2500
Sm6 0.9763 0.7249 0.9452
Tm1 0.2194 0.4694 0.4453
Tm2 0.4694 0.2194 0.9453
Tm3 0.5306 0.7806 0.0547
Tm4 0.7806 0.5306 0.5547
```

Output
- space-group type = C2/c
- electronic total energy (Ry/atom) = -0.3311

***

> Number 5 is which compound?

Pm4Sm7Tm